Model w:
First-principles (PBE-GGA) data for an optimized crystal structure of CoSb2OsI, as listed in Alexandria.

Its total moment is 0.00 μB per cell. As for the calculated volume: 114.1 Å³ per cell. The theoretical density comes out at 9.0 g/cm3.

abc: 4.7548 4.7548 5.0476
angles: 90.00 90.00 90.00
Space group P4/mmm (No. 123)
Asymmetric unit:
1 Co 0.0000 0.0000 0.0000
2 Sb 0.0000 0.5000 0.0000
3 Os 0.5000 0.5000 0.5000
4 I 0.0000 0.0000 0.5000



Model x:
First-principles (PBE-GGA) data for an optimized crystal structure of CoSb2OsI, as listed in Alexandria.

Its total moment is 2.03 μB per cell. As for the calculated volume: 146.4 Å³ per cell. The theoretical density comes out at 7.0 g/cm3.

abc: 5.0301 5.0301 5.7879
angles: 90.00 90.00 90.00
Space group P4/mmm (No. 123)
Asymmetric unit:
1 Co 0.0000 0.0000 0.0000
2 Sb 0.0000 0.5000 0.5000
3 Os 0.5000 0.5000 0.5000
4 I 0.5000 0.5000 0.0000



Most stable to least stable: model x, model w